# Ta2BeRh | Alexandria via LeMat-Bulk | GGA-PBE | relaxed
data_Ta2BeRh
_chemical_formula_sum 'Ta4 Be2 Rh2'
_cell_length_a 5.514
_cell_length_b 7.803
_cell_length_c 2.813
_cell_angle_alpha 90.00
_cell_angle_beta 90.00
_cell_angle_gamma 90.00
_symmetry_space_group_name_H-M 'C m m m'
_symmetry_Int_Tables_number 65
_symmetry_space_group_name_Hall '-C 2 2'
loop_
_atom_site_label
_atom_site_type_symbol
_atom_site_fract_x
_atom_site_fract_y
_atom_site_fract_z
_atom_site_occupancy
Ta1 Ta 0.250 0.250 0.000 1
Be1 Be 0.000 0.000 0.500 1
Rh1 Rh 0.000 0.500 0.500 1
# - DFT total energy: -70.7 eV per cell